Material: KCeV2O8
Method: DFT, GGA+U
State: relaxed

Output
total DFT energy (no corrections)	-0.534	Ry per atom
M_tot	1.08	μB/f.u.
DOS at the Fermi energy	0.7835	states/eV per atom

Lattice parameters (Å, degrees): 5.905 5.905 7.705 90.00 90.00 120.00
Last column: magnetic moment on the atom in μB.
Element x y z (fractional)
V: 0.667 0.333 0.244  -0.10
V: 0.333 0.667 0.756  -0.10
O: 0.170 0.829 0.682  0.10
O: 0.341 0.170 0.318  0.10
O: 0.829 0.659 0.318  0.10
O: 0.830 0.171 0.318  0.10
O: 0.333 0.667 0.975  0.23
O: 0.171 0.341 0.682  0.10
O: 0.659 0.830 0.682  0.10
O: 0.667 0.333 0.025  0.23
Ce: 0.000 0.000 0.500  -0.04
K: 0.000 0.000 0.000  0.00